The following is a DFT calculation (PBE) of an optimized crystal structure of PmZnHg.

Calculated values
Space group   F-43m (216)
E_form   -0.261 eV/atom
Theoretical density   8.98 g/cm3
Final energy   -2.370 eV/atom
Size of the total moment   0.0 μB per cell

abc: 6.7252 6.7252 6.7252
angles: 90.00 90.00 90.00
Closest atoms and distances in Å follow each position.
Fractional positions:
Pm  0.0000  0.0000  0.0000  4 Zn 2.91
Pm  0.0000  0.5000  0.5000  4 Zn 2.91
Pm  0.5000  0.0000  0.5000  4 Zn 2.91
Pm  0.5000  0.5000  0.0000  4 Zn 2.91
Zn  0.2500  0.2500  0.7500  4 Hg 2.91, 4 Pm 2.91
Zn  0.2500  0.7500  0.2500  4 Hg 2.91, 4 Pm 2.91
Zn  0.7500  0.2500  0.2500  4 Hg 2.91, 4 Pm 2.91
Zn  0.7500  0.7500  0.7500  4 Hg 2.91, 4 Pm 2.91
Hg  0.0000  0.0000  0.5000  4 Zn 2.91
Hg  0.0000  0.5000  0.0000  4 Zn 2.91
Hg  0.5000  0.0000  0.0000  4 Zn 2.91
Hg  0.5000  0.5000  0.5000  4 Zn 2.91